No. 1
# Nd2Y4HoMg PBE-GGA relaxed
# Formation energy = 0.22 eV/f.u.
# Total energy = -5.167 eV per atom
# Spin magnetization = 0.0011 μB/atom
data_Nd2Y4HoMg
_space_group_name_H-M_alt 'P 1'
_space_group_IT_number 1
_space_group_name_Hall 'P 1'
_cell_length_a 5.005
_cell_length_b 5.015
_cell_length_c 11.334
_cell_angle_alpha 63.72
_cell_angle_beta 90.00
_cell_angle_gamma 90.00
loop_
_atom_site_label
_atom_site_type_symbol
_atom_site_fract_x
_atom_site_fract_y
_atom_site_fract_z
Nd1 Nd 0.000 0.000 0.000
Nd2 Nd 0.500 0.000 0.500
Y1 Y 0.000 0.749 0.751
Y2 Y 0.000 0.251 0.249
Y3 Y 0.500 0.751 0.249
Y4 Y 0.500 0.249 0.751
Ho1 Ho 0.000 0.500 0.500
Mg1 Mg 0.500 0.500 0.000

***

No. 2
# PuU4C5 PBE-GGA relaxed
# Formation energy = -1.06 eV/f.u.
# Total energy = -10.666 eV per atom
# Spin magnetization = 0.4886 μB/atom
data_PuU4C5
_space_group_name_H-M_alt 'P 1'
_space_group_IT_number 1
_space_group_name_Hall 'P 1'
_cell_length_a 3.514
_cell_length_b 6.045
_cell_length_c 7.819
_cell_angle_alpha 75.05
_cell_angle_beta 77.02
_cell_angle_gamma 73.10
loop_
_atom_site_label
_atom_site_type_symbol
_atom_site_fract_x
_atom_site_fract_y
_atom_site_fract_z
Pu1 Pu 0.000 0.000 0.000
U1 U 0.596 0.201 0.607
U2 U 0.204 0.392 0.201
U3 U 0.796 0.608 0.799
U4 U 0.404 0.799 0.393
C1 C 0.210 0.900 0.680
C2 C 0.790 0.100 0.320
C3 C 0.386 0.331 0.896
C4 C 0.000 0.500 0.500
C5 C 0.614 0.669 0.104

***

No. 3
# K2MnBS4 PBE-GGA relaxed
# Total energy = -5.106 eV per atom
# Spin magnetization = 0.5000 μB/atom
# Formation energy without anion corrections = -0.787 eV/atom
data_K2MnBS4
_space_group_name_H-M_alt 'P 1'
_space_group_IT_number 1
_space_group_name_Hall 'P 1'
_cell_length_a 5.559
_cell_length_b 7.121
_cell_length_c 11.460
_cell_angle_alpha 84.57
_cell_angle_beta 75.96
_cell_angle_gamma 67.03
loop_
_atom_site_label
_atom_site_type_symbol
_atom_site_fract_x
_atom_site_fract_y
_atom_site_fract_z
K1 K 0.178 0.000 0.643
K2 K 0.822 0.000 0.357
K3 K 0.572 0.500 0.857
K4 K 0.928 0.500 0.143
Mn1 Mn 0.750 0.500 0.500
Mn2 Mn 0.000 0.000 0.000
B1 B 0.250 0.500 0.500
B2 B 0.500 0.000 0.000
S1 S 0.333 0.823 0.096
S2 S 0.252 0.177 0.904
S3 S 0.844 0.823 0.904
S4 S 0.571 0.177 0.096
S5 S 0.417 0.677 0.404
S6 S 0.498 0.323 0.596
S7 S 0.906 0.677 0.596
S8 S 0.179 0.323 0.404

***

No. 4
# KTaIn2 PBE-GGA relaxed
# Formation energy = 4.06 eV/f.u.
# Total energy = -3.591 eV per atom
# Spin magnetization = 0.6887 μB/atom
data_KTaIn2
_space_group_name_H-M_alt 'P 1'
_space_group_IT_number 1
_space_group_name_Hall 'P 1'
_cell_length_a 5.260
_cell_length_b 5.260
_cell_length_c 5.260
_cell_angle_alpha 60.00
_cell_angle_beta 60.00
_cell_angle_gamma 60.00
loop_
_atom_site_label
_atom_site_type_symbol
_atom_site_fract_x
_atom_site_fract_y
_atom_site_fract_z
In1 In 0.000 0.000 0.000
In2 In 0.250 0.250 0.250
K1 K 0.500 0.500 0.500
Ta1 Ta 0.750 0.750 0.750

***

No. 5
# Ca2TaCd PBE-GGA relaxed
# Formation energy = 2.36 eV/f.u.
# Total energy = -3.604 eV per atom
# Spin magnetization = 0.7669 μB/atom
data_Ca2TaCd
_space_group_name_H-M_alt 'P 1'
_space_group_IT_number 1
_space_group_name_Hall 'P 1'
_cell_length_a 5.882
_cell_length_b 5.882
_cell_length_c 5.882
_cell_angle_alpha 133.18
_cell_angle_beta 133.18
_cell_angle_gamma 68.37
loop_
_atom_site_label
_atom_site_type_symbol
_atom_site_fract_x
_atom_site_fract_y
_atom_site_fract_z
Ca1 Ca 0.000 0.000 0.000
Ca2 Ca 0.250 0.750 0.500
Cd1 Cd 0.500 0.500 0.000
Ta1 Ta 0.750 0.250 0.500

***

No. 6
# VPBrN PBE-GGA relaxed
# Total energy = -6.334 eV per atom
# Spin magnetization = 0.0000 μB/atom
# Formation energy without anion corrections = -0.203 eV/atom
data_VPBrN
_space_group_name_H-M_alt 'P 1'
_space_group_IT_number 1
_space_group_name_Hall 'P 1'
_cell_length_a 10.429
_cell_length_b 3.862
_cell_length_c 3.862
_cell_angle_alpha 90.00
_cell_angle_beta 100.25
_cell_angle_gamma 90.00
loop_
_atom_site_label
_atom_site_type_symbol
_atom_site_fract_x
_atom_site_fract_y
_atom_site_fract_z
V1 V 0.564 0.000 0.060
V2 V 0.564 0.500 0.560
P1 P 0.338 0.000 0.951
P2 P 0.338 0.500 0.451
Br1 Br 0.936 0.000 0.238
Br2 Br 0.936 0.500 0.738
N1 N 0.599 0.000 0.577
N2 N 0.599 0.500 0.077

***

Fermi-level density of states? In order: 13.1, 13.9, 6.9, 3.3, 3.5, 4.1 states/eV/cell.